VASP calculation (SCAN) on Mn3OF5 at its PBEsol-relaxed geometry.

Calculated values
energy above the lowest structure with this stoichiometry = 21.0 meV/atom
ΔE_f (raw) = -2.713 eV per atom
crystal system = monoclinic

Lattice parameters (Å, degrees): 5.759 5.759 7.320 73.93 73.93 73.85
Site moments in Bohr magnetons follow the coordinates.
Atoms (fractional coordinates):
Mn 0.673 0.673 0.845  -4.23
Mn 0.342 0.342 0.653  4.51
Mn 0.656 0.656 0.319  3.72
Mn 0.339 0.339 0.175  -4.33
Mn 0.998 0.998 0.496  4.59
Mn 0.984 0.984 0.997  -4.46
O 0.756 0.756 0.048  0.03
O 0.444 0.444 0.365  0.03
F 0.638 0.035 0.677  0.02
F 0.977 0.360 0.335  0.04
F 0.878 0.878 0.311  0.00
F 0.586 0.586 0.621  0.02
F 0.230 0.230 0.967  -0.01
F 0.106 0.106 0.700  0.02
F 0.360 0.977 0.335  0.04
F 0.035 0.638 0.677  0.02
F 0.696 0.300 0.989  -0.07
F 0.300 0.696 0.989  -0.07

---

VASP calculation (SCAN) on Mn6O7F5 at its PBEsol-relaxed geometry.

Calculated values
energy above the lowest structure with this stoichiometry = 15.8 meV/atom
ΔE_f (raw) = -2.386 eV per atom
crystal system = monoclinic

Lattice parameters (Å, degrees): 4.600 4.601 8.950 90.00 90.00 94.11
Site moments in Bohr magnetons follow the coordinates.
Atoms (fractional coordinates):
Mn 0.018 0.992 0.825  3.83
Mn 0.018 0.992 0.175  3.83
Mn 0.990 0.963 0.500  3.35
Mn 0.488 0.528 0.675  3.62
Mn 0.514 0.494 0.000  3.75
Mn 0.488 0.528 0.325  3.62
O 0.185 0.809 0.340  0.00
O 0.185 0.809 0.660  0.00
O 0.703 0.699 0.834  0.02
O 0.703 0.699 0.166  0.02
O 0.677 0.693 0.500  0.01
O 0.311 0.307 0.833  0.02
O 0.311 0.307 0.167  0.02
F 0.210 0.801 0.000  0.11
F 0.285 0.302 0.500  0.03
F 0.829 0.182 0.000  0.05
F 0.793 0.198 0.345  0.07
F 0.793 0.198 0.655  0.07

---

VASP calculation (SCAN) on Mn2OF3 at its PBEsol-relaxed geometry.

Calculated values
energy above the lowest structure with this stoichiometry = 25.0 meV/atom
ΔE_f (raw) = -2.640 eV per atom
crystal system = orthorhombic

Lattice parameters (Å, degrees): 4.646 5.961 10.330 90.00 90.00 90.00
Site moments in Bohr magnetons follow the coordinates.
Atoms (fractional coordinates):
Mn 0.000 0.500 0.500  3.95
Mn 0.000 0.000 0.500  3.95
Mn 0.551 0.250 0.719  4.50
Mn 0.449 0.750 0.281  4.50
Mn 0.500 0.000 0.000  3.95
Mn 0.500 0.500 0.000  3.95
Mn 0.949 0.250 0.219  4.50
Mn 0.051 0.750 0.781  4.50
O 0.692 0.250 0.072  0.02
O 0.808 0.250 0.572  0.02
O 0.192 0.750 0.428  0.02
O 0.308 0.750 0.928  0.02
F 0.702 0.750 0.110  0.09
F 0.798 0.750 0.610  0.09
F 0.202 0.250 0.390  0.09
F 0.298 0.250 0.890  0.09
F 0.740 0.001 0.340  0.07
F 0.740 0.499 0.340  0.07
F 0.760 0.001 0.840  0.07
F 0.760 0.499 0.840  0.07
F 0.240 0.501 0.160  0.07
F 0.240 0.999 0.160  0.07
F 0.260 0.501 0.660  0.07
F 0.260 0.999 0.660  0.07